Arrangement one

VASP calculation (PBE-GGA) on an optimized crystal structure of AcPmZnPd.

* SG: No. 38
* magnetization: 0.00 μB per atom
* ρ: 8.32 g/cm³

Cell lengths 4.609, 5.949, 5.949 Å; angles 41.74, 90.00, 90.00 degrees
Fractional positions:
Ac 0.000 0.000 0.000
Pm 0.500 0.283 0.283
Zn 0.500 0.579 0.579
Pd 0.000 0.718 0.718

***

Arrangement two

VASP calculation (PBE-GGA) on an optimized crystal structure of AcPmZnPd.

* SG: No. 216
* magnetization: 0.00 μB per atom
* ρ: 8.56 g/cm³

Cell lengths 5.304, 5.304, 5.304 Å; angles 60.00, 60.00, 60.00 degrees
Fractional positions:
Ac 0.000 0.000 0.000
Pm 0.500 0.500 0.500
Zn 0.250 0.250 0.250
Pd 0.750 0.750 0.750

***

Relative energies, in eV/atom, with the most stable structure set to zero: arrangement one 0.000; arrangement two 0.044.

***

Arrangement one

VASP calculation (PBE-GGA) on an optimized crystal structure of AcPr2Pd.

* SG: No. 123
* magnetization: 0.00 μB per atom
* ρ: 7.94 g/cm³

Cell lengths 3.755, 3.755, 9.129 Å; angles 90.00, 90.00, 90.00 degrees
Fractional positions:
Ac 0.000 0.000 0.000
Pr 0.500 0.500 0.313
Pr 0.500 0.500 0.687
Pd 0.000 0.000 0.500

***

Arrangement two

VASP calculation (PBE-GGA) on an optimized crystal structure of AcPr2Pd.

* SG: No. 160
* magnetization: 0.00 μB per atom
* ρ: 7.20 g/cm³

Cell lengths 10.015, 10.015, 10.015 Å; angles 23.63, 23.63, 23.63 degrees
Fractional positions:
Ac 0.000 0.000 0.000
Pr 0.227 0.227 0.227
Pr 0.442 0.442 0.442
Pd 0.835 0.835 0.835

***

Relative energies, in eV/atom, with the most stable structure set to zero: arrangement one 0.000; arrangement two 0.034.

***

Arrangement one

VASP calculation (PBE-GGA) on an optimized crystal structure of AcPr2Pd.

* SG: No. 166
* magnetization: 0.05 μB per atom
* ρ: 6.96 g/cm³

Cell lengths 11.362, 11.362, 11.362 Å; angles 19.77, 19.77, 19.77 degrees
Fractional positions:
Ac 0.000 0.000 0.000
Pr 0.111 0.111 0.111
Pr 0.889 0.889 0.889
Pd 0.500 0.500 0.500

***

Arrangement two

VASP calculation (PBE-GGA) on an optimized crystal structure of AcPr2Pd.

* SG: No. 62
* magnetization: 0.00 μB per atom
* ρ: 7.71 g/cm³

Cell lengths 7.498, 10.462, 6.753 Å; angles 90.00, 90.00, 90.00 degrees
Fractional positions:
Ac 0.028 0.250 0.145
Ac 0.472 0.750 0.645
Ac 0.528 0.250 0.355
Ac 0.972 0.750 0.855
Pr 0.177 0.062 0.666
Pr 0.177 0.438 0.666
Pr 0.323 0.562 0.166
Pr 0.323 0.938 0.166
Pr 0.677 0.062 0.834
Pr 0.677 0.438 0.834
Pr 0.823 0.562 0.334
Pr 0.823 0.938 0.334
Pd 0.116 0.750 0.414
Pd 0.384 0.250 0.914
Pd 0.616 0.750 0.086
Pd 0.884 0.250 0.586

***

Arrangement three

VASP calculation (PBE-GGA) on an optimized crystal structure of AcPr2Pd.

* SG: No. 123
* magnetization: 0.00 μB per atom
* ρ: 8.29 g/cm³

Cell lengths 5.651, 5.651, 3.861 Å; angles 90.00, 90.00, 90.00 degrees
Fractional positions:
Ac 0.000 0.000 0.000
Pr 0.000 0.500 0.500
Pr 0.500 0.000 0.500
Pd 0.500 0.500 0.000

***

Relative energies, in eV/atom, with the most stable structure set to zero: arrangement one 0.294; arrangement two 0.000; arrangement three 0.375.

***

Arrangement one

VASP calculation (PBE-GGA) on an optimized crystal structure of AcPrPd.

* SG: No. 156
* magnetization: 0.00 μB per atom
* ρ: 8.33 g/cm³

Cell lengths 4.930, 4.930, 4.494 Å; angles 90.00, 90.00, 120.00 degrees
Fractional positions:
Ac 0.000 0.000 0.000
Pr 0.333 0.667 0.474
Pd 0.667 0.333 0.658

***

Arrangement two

VASP calculation (PBE-GGA) on an optimized crystal structure of AcPrPd.

* SG: No. 2
* magnetization: 0.00 μB per atom
* ρ: 8.39 g/cm³

Cell lengths 3.791, 7.139, 7.505 Å; angles 74.11, 89.99, 74.68 degrees
Fractional positions:
Ac 0.139 0.223 0.075
Ac 0.861 0.777 0.925
Pr 0.132 0.237 0.562
Pr 0.868 0.763 0.438
Pd 0.492 0.515 0.256
Pd 0.508 0.485 0.744

***

Relative energies, in eV/atom, with the most stable structure set to zero: arrangement one 0.087; arrangement two 0.000.

***

Arrangement one

VASP calculation (PBE-GGA) on an optimized crystal structure of AcPrPd.

* SG: No. 14
* magnetization: 0.00 μB per atom
* ρ: 7.71 g/cm³

Cell lengths 7.485, 6.368, 11.117 Å; angles 90.00, 129.56, 90.00 degrees
Fractional positions:
Ac 0.196 0.141 0.385
Ac 0.196 0.359 0.885
Ac 0.804 0.641 0.115
Ac 0.804 0.859 0.615
Pr 0.328 0.631 0.637
Pr 0.328 0.869 0.137
Pr 0.672 0.131 0.863
Pr 0.672 0.369 0.363
Pd 0.325 0.635 0.366
Pd 0.325 0.865 0.866
Pd 0.675 0.135 0.134
Pd 0.675 0.365 0.634

***

Arrangement two

VASP calculation (PBE-GGA) on an optimized crystal structure of AcPrPd.

* SG: No. 107
* magnetization: 0.00 μB per atom
* ρ: 8.37 g/cm³

Cell lengths 7.107, 7.107, 7.107 Å; angles 149.16, 149.16, 44.18 degrees
Fractional positions:
Ac 0.000 0.000 0.000
Pr 0.730 0.730 0.000
Pd 0.356 0.356 0.000

***

Relative energies, in eV/atom, with the most stable structure set to zero: arrangement one 0.000; arrangement two 0.007.

***

Arrangement one

VASP calculation (PBE-GGA) on an optimized crystal structure of Ac2PrPd9.

* SG: No. 166
* magnetization: 0.00 μB per atom
* ρ: 10.66 g/cm³

Cell lengths 9.753, 9.753, 9.753 Å; angles 32.78, 32.78, 32.78 degrees
Fractional positions:
Ac 0.137 0.137 0.137
Ac 0.863 0.863 0.863
Pr 0.000 0.000 0.000
Pd 0.081 0.584 0.584
Pd 0.333 0.333 0.333
Pd 0.416 0.416 0.919
Pd 0.416 0.919 0.416
Pd 0.500 0.500 0.500
Pd 0.584 0.081 0.584
Pd 0.584 0.584 0.081
Pd 0.667 0.667 0.667
Pd 0.919 0.416 0.416

***

Arrangement two

VASP calculation (PBE-GGA) on an optimized crystal structure of Ac2PrPd9.

* SG: No. 123
* magnetization: 0.00 μB per atom
* ρ: 10.92 g/cm³

Cell lengths 4.287, 4.287, 12.851 Å; angles 90.00, 90.00, 90.00 degrees
Fractional positions:
Ac 0.000 0.000 0.169
Ac 0.000 0.000 0.831
Pr 0.000 0.000 0.500
Pd 0.000 0.500 0.000
Pd 0.000 0.500 0.338
Pd 0.000 0.500 0.662
Pd 0.500 0.000 0.000
Pd 0.500 0.000 0.338
Pd 0.500 0.000 0.662
Pd 0.500 0.500 0.170
Pd 0.500 0.500 0.500
Pd 0.500 0.500 0.830

***

Relative energies, in eV/atom, with the most stable structure set to zero: arrangement one 0.038; arrangement two 0.000.

***

Arrangement one

VASP calculation (PBE-GGA) on an optimized crystal structure of AcPrPdRh.

* SG: No. 38
* magnetization: 0.00 μB per atom
* ρ: 9.31 g/cm³

Cell lengths 4.498, 5.992, 5.992 Å; angles 39.60, 90.00, 90.00 degrees
Fractional positions:
Ac 0.000 0.000 0.000
Pr 0.500 0.725 0.725
Pd 0.500 0.441 0.441
Rh 0.000 0.266 0.266

***

Arrangement two

VASP calculation (PBE-GGA) on an optimized crystal structure of AcPrPdRh.

* SG: No. 216
* magnetization: 0.00 μB per atom
* ρ: 9.62 g/cm³

Cell lengths 5.203, 5.203, 5.203 Å; angles 60.00, 60.00, 60.00 degrees
Fractional positions:
Ac 0.000 0.000 0.000
Pr 0.500 0.500 0.500
Pd 0.250 0.250 0.250
Rh 0.750 0.750 0.750

***

Relative energies, in eV/atom, with the most stable structure set to zero: arrangement one 0.000; arrangement two 0.082.

***

Arrangement one

VASP calculation (PBE-GGA) on an optimized crystal structure of AcPdPt.

* SG: No. 187
* magnetization: 0.00 μB per atom
* ρ: 11.88 g/cm³

Cell lengths 4.577, 4.577, 4.071 Å; angles 90.00, 90.00, 120.00 degrees
Fractional positions:
Ac 0.000 0.000 0.000
Pd 0.667 0.333 0.500
Pt 0.333 0.667 0.500

***

Arrangement two

VASP calculation (PBE-GGA) on an optimized crystal structure of AcPdPt.

* SG: No. 74
* magnetization: 0.00 μB per atom
* ρ: 13.63 g/cm³

Cell lengths 5.672, 5.672, 5.672 Å; angles 120.29, 119.92, 89.81 degrees
Fractional positions:
Ac 0.376 0.126 0.250
Ac 0.624 0.874 0.750
Pd 0.000 0.000 0.500
Pd 0.000 0.500 0.000
Pt 0.000 0.500 0.500
Pt 0.500 0.500 0.000

***

Arrangement three

VASP calculation (PBE-GGA) on an optimized crystal structure of AcPdPt.

* SG: No. 166
* magnetization: 0.00 μB per atom
* ρ: 11.78 g/cm³

Cell lengths 7.445, 7.445, 7.445 Å; angles 39.31, 39.31, 39.31 degrees
Fractional positions:
Ac 0.227 0.227 0.227
Ac 0.773 0.773 0.773
Pd 0.368 0.368 0.368
Pd 0.632 0.632 0.632
Pt 0.067 0.067 0.067
Pt 0.933 0.933 0.933

***

Relative energies, in eV/atom, with the most stable structure set to zero: arrangement one 0.000; arrangement two 0.008; arrangement three 0.290.